1.
# GGA-PBE In3IrBr, relaxed
data_In3IrBr
_chemical_formula_sum 'In12 Ir4 Br4'
_cell_length_a 10.4122
_cell_length_b 10.4189
_cell_length_c 5.2257
_cell_angle_alpha 90.00
_cell_angle_beta 90.00
_cell_angle_gamma 90.00
_symmetry_space_group_name_H-M 'C m m m'
_symmetry_Int_Tables_number 65
_symmetry_space_group_name_Hall '-C 2 2'
loop_
_atom_site_label
_atom_site_fract_x
_atom_site_fract_y
_atom_site_fract_z
_atom_site_occupancy
In1 0.0000 0.0000 0.0000 1
In2 0.0000 0.2441 0.5000 1
In3 0.0000 0.5000 0.0000 1
In4 0.2500 0.2500 0.0000 1
Ir1 0.0000 0.2509 0.0000 1
Br1 0.2349 0.0000 0.5000 1
# final energy = -82.53 eV/cell
# magnetization = 0.0 Bohr magnetons per cell
# crystal system = orthorhombic


2.
# GGA-PBE AgHgSeO, relaxed
data_AgHgSeO
_chemical_formula_sum 'Ag4 Hg4 Se4 O4'
_cell_length_a 6.4373
_cell_length_b 6.7334
_cell_length_c 7.8290
_cell_angle_alpha 90.00
_cell_angle_beta 90.00
_cell_angle_gamma 90.00
_symmetry_space_group_name_H-M 'P 21 21 21'
_symmetry_Int_Tables_number 19
loop_
_symmetry_equiv_pos_as_xyz
'x,y,z'
'-x+1/2,-y,z+1/2'
'x+1/2,-y+1/2,-z'
'-x,y+1/2,-z+1/2'
loop_
_atom_site_label
_atom_site_fract_x
_atom_site_fract_y
_atom_site_fract_z
_atom_site_occupancy
Ag1 0.0012 0.0077 0.2484 1
Hg1 0.0446 0.7410 0.8326 1
Se1 0.2411 0.2430 0.8894 1
O1 0.1267 0.2574 0.3935 1
# final energy = -47.43 eV/cell
# excess energy over the best structure of this formula in the dataset = 15 meV per atom
# crystal system = orthorhombic


3.
# GGA-PBE Sc2CuOs, relaxed
data_Sc2CuOs
_chemical_formula_sum 'Sc8 Cu4 Os4'
_cell_length_a 6.4239
_cell_length_b 6.5400
_cell_length_c 6.3786
_cell_angle_alpha 90.00
_cell_angle_beta 90.00
_cell_angle_gamma 90.00
_symmetry_space_group_name_H-M 'P n m a'
_symmetry_Int_Tables_number 62
loop_
_symmetry_equiv_pos_as_xyz
'x,y,z'
'-x,-y,-z'
'-x+1/2,-y,z+1/2'
'x+1/2,y,-z+1/2'
'x+1/2,-y+1/2,-z+1/2'
'-x+1/2,y+1/2,z+1/2'
'-x,y+1/2,-z'
'x,-y+1/2,z'
loop_
_atom_site_label
_atom_site_fract_x
_atom_site_fract_y
_atom_site_fract_z
_atom_site_occupancy
Sc1 0.2495 0.0007 0.2502 1
Cu1 0.0006 0.2500 0.5021 1
Os1 0.0000 0.2500 0.9992 1
# final energy = -116.53 eV/cell
# energy of formation from the pure elements = -383 meV per atom
# magnetization = 0.0 Bohr magnetons per cell
# excess energy over the best structure of this formula in the dataset = 26 meV per atom
# crystal system = orthorhombic


- Which formula does entry 2 have?
  AgHgSeO